# 1
# BaMnW

A relaxed structure of BaMnW (PBE, Alexandria via LeMat-Bulk).

The structure in POSCAR format:
```
BaMnW
1.0
-0.973 -0.430 4.689
-0.788 -4.344 1.903
3.247 -1.953 2.960
Ba Mn W
1 1 1
Cartesian
0.743 -3.363 4.776
1.114 -5.045 7.164
0.000 0.000 0.000
```

Output
The formation energy is 1.665 eV per atom. Its space-group type is F-43m. The density of states at the Fermi level comes out at 3.24 states/eV/f.u.

***

# 2
# K2LiPb

A relaxed structure of K2LiPb (PBE, Alexandria via LeMat-Bulk).

The structure in POSCAR format:
```
K2LiPb
1.0
-1.205 -6.484 -1.484
4.629 -4.442 2.130
-3.751 4.996 2.582
K Li Pb
2 1 1
Cartesian
3.410 -10.880 0.644
1.727 -5.510 0.326
-1.622 -3.476 0.711
1.295 -2.455 2.518
```

Output
The formation energy is 0.020 eV per atom. Its space-group type is Immm. The density of states at the Fermi level comes out at 2.22 states/eV/f.u.

***

# 3
# Co2Tc

A relaxed structure of Co2Tc (PBE, Alexandria via LeMat-Bulk).

The structure in POSCAR format:
```
Co2Tc
1.0
-1.631 3.466 1.372
-2.665 -2.131 2.216
1.712 -0.007 2.052
Co Tc
2 1
Cartesian
-0.477 -1.069 2.134
0.041 1.730 1.712
0.000 0.000 0.000
```

Output
The formation energy is 0.889 eV per atom. Its space-group type is P4/mmm. The density of states at the Fermi level comes out at 4.41 states/eV/f.u.

***

# 4
# Na2Mn2SiSe6

A relaxed structure of Na2Mn2SiSe6 (PBE, Alexandria via LeMat-Bulk).

The structure in POSCAR format:
```
Na2Mn2SiSe6
1.0
-2.225 3.292 -4.966
-3.776 -4.151 2.993
-0.127 5.463 5.085
Na Mn Si Se
2 2 1 6
Cartesian
-2.486 2.039 -3.627
-3.515 -2.899 1.654
-3.326 1.045 2.900
-2.802 3.559 0.212
-0.063 2.732 2.542
-4.555 3.143 2.051
-1.704 2.415 4.385
-1.573 1.461 1.060
-1.203 4.819 1.814
-4.424 2.189 -1.273
-4.925 -0.215 1.297
```

Output
Its space-group type is C2/m. The density of states at the Fermi level comes out at 4.42 states/eV/f.u. The calculation puts the total energy at -4.92 eV per atom.

***

# 5
# Sc4SiBiC

A relaxed structure of Sc4SiBiC (PBE, Alexandria via LeMat-Bulk).

The structure in POSCAR format:
```
Sc4SiBiC
1.0
-5.942 -1.881 -0.525
0.496 -3.086 5.433
0.764 6.911 3.855
Sc Si Bi C
8 2 2 2
Cartesian
-4.671 3.222 4.065
-1.391 2.456 6.945
-0.011 -1.278 4.699
-3.291 -0.512 1.818
-2.341 0.972 4.382
0.382 3.455 1.928
-2.589 2.515 1.665
0.630 1.913 4.644
-0.379 0.588 2.176
-4.303 1.356 6.587
-3.042 -2.056 4.533
-1.640 4.001 4.230
-0.710 0.613 5.836
-3.972 1.331 2.927
```

Output
Its space-group type is Cmcm. The density of states at the Fermi level comes out at 4.48 states/eV/f.u. The calculation puts the total energy at -6.93 eV per atom.

***

# 6
# HfCoReNi2

A relaxed structure of HfCoReNi2 (PBE, Alexandria via LeMat-Bulk).

The structure in POSCAR format:
```
HfCoReNi2
1.0
4.416 0.000 0.000
0.000 4.363 0.000
0.000 0.000 4.416
Re Co Hf Ni
1 1 1 2
Cartesian
2.208 2.182 2.208
0.000 2.182 0.000
0.000 0.000 0.000
0.000 0.000 2.208
2.208 0.000 0.000
```

Output
The formation energy is 1.694 eV per atom. Its space-group type is P4/mmm. The density of states at the Fermi level comes out at 7.40 states/eV/f.u.

***

# 7
# HoThCo

A relaxed structure of HoThCo (PBE, Alexandria via LeMat-Bulk).

The structure in POSCAR format:
```
HoThCo
1.0
3.457 0.000 0.000
0.000 3.457 0.000
-1.728 -1.728 5.969
Co Ho Th
1 1 1
Cartesian
1.728 1.728 2.112
0.000 0.000 0.299
0.000 0.000 3.558
```

Output
The formation energy is -0.067 eV per atom. Its space-group type is I4mm. The density of states at the Fermi level comes out at 4.80 states/eV/f.u.

***

# 8
# CePmPaTc

A relaxed structure of CePmPaTc (PBE, Alexandria via LeMat-Bulk).

The structure in POSCAR format:
```
CePmPaTc
1.0
5.053 0.000 0.000
2.527 4.376 0.000
2.527 1.459 4.126
Pa Tc Ce Pm
1 1 1 1
Cartesian
5.053 2.917 2.063
2.527 1.459 1.031
7.580 4.376 3.094
0.000 0.000 0.000
```

Output
The formation energy is 0.204 eV per atom. Its space-group type is F-43m. The density of states at the Fermi level comes out at 9.14 states/eV/f.u.

***

# 9
# CsLiHoS2

A relaxed structure of CsLiHoS2 (PBE, Alexandria via LeMat-Bulk).

The structure in POSCAR format:
```
CsLiHoS2
1.0
-3.670 -1.589 4.615
5.543 0.394 4.543
-4.316 7.024 -1.014
Cs Li Ho S
2 2 2 4
Cartesian
1.189 3.457 3.920
-3.632 2.372 4.225
0.000 0.000 0.000
2.772 0.197 2.272
2.322 -0.499 5.715
-0.449 -0.696 3.443
-1.050 4.860 6.530
-0.121 0.516 5.774
-2.321 5.313 2.371
-1.392 0.969 1.615
```

Output
Its space-group type is Cmme. The density of states at the Fermi level comes out at 2.87 states/eV/f.u. The calculation puts the total energy at -4.38 eV per atom.

***

# 10
# CoHBrN

A relaxed structure of CoHBrN (PBE, Alexandria via LeMat-Bulk).

The structure in POSCAR format:
```
CoHBrN
1.0
3.131 0.000 0.007
1.565 2.712 -0.005
0.731 0.953 6.306
Co H Br N
1 1 1 1
Cartesian
2.884 1.094 1.699
2.050 1.139 6.169
1.314 2.002 3.395
1.320 0.187 0.891
```

Output
Its space-group type is P1. The density of states at the Fermi level comes out at 1.51 states/eV/f.u. The calculation puts the total energy at -5.05 eV per atom.

***

# 11
# CaOs4W

A relaxed structure of CaOs4W (PBE, Alexandria via LeMat-Bulk).

The structure in POSCAR format:
```
CaOs4W
1.0
0.000 3.685 3.685
3.685 0.000 3.685
3.685 3.685 0.000
Ca Os W
1 4 1
Cartesian
0.000 0.000 0.000
2.761 4.609 4.609
4.609 4.609 2.761
4.609 2.761 4.609
2.761 2.761 2.761
5.527 5.527 5.527
```

Output
The formation energy is 0.409 eV per atom. Its space-group type is F-43m. The density of states at the Fermi level comes out at 4.32 states/eV/f.u.

***

# 12
# HfMn3H

A relaxed structure of HfMn3H (PBE, Alexandria via LeMat-Bulk).

The structure in POSCAR format:
```
HfMn3H
1.0
-3.043 3.643 1.100
-3.004 -1.435 -3.558
-2.336 -2.900 3.142
H Mn Hf
1 3 1
Cartesian
-4.192 -0.346 0.342
-1.502 -0.717 -1.779
-1.168 -1.450 1.571
-1.521 1.822 0.550
0.000 0.000 0.000
```

Output
Its space-group type is Pm-3m. The density of states at the Fermi level comes out at 5.14 states/eV/f.u. The calculation puts the total energy at -6.20 eV per atom.